V3CdIr PBE optimized geometry; magnetic moment = 0.01 μB/f.u.; energy of formation = 855 meV/atom; uncorrected energy = -0.483 Ry/atom; distance to the lowest polymorph of the same formula = 0.000 eV per atom; space group = Pm-3m; crystal system = cubic
1.0
4.6337 0.0000 0.0000
0.0000 4.6337 0.0000
0.0000 0.0000 4.6337
Cd Ir V
1 1 3
direct
0.5000 0.5000 0.5000
0.0000 0.0000 0.0000
0.0000 0.5000 0.0000
0.0000 0.0000 0.5000
0.5000 0.0000 0.0000